(1)
VASP calculation (GGA-PBE) on an optimized crystal structure of Ca2BeCd.

Lattice parameters (Å, degrees): 6.712 6.712 6.712 104.20 104.20 120.62
Fractional coordinates of all 8 atoms:
Ca 0.089 0.625 0.964
Ca 0.375 0.339 0.464
Ca 0.661 0.125 0.036
Ca 0.875 0.911 0.536
Be 0.000 0.000 0.000
Be 0.750 0.250 0.500
Cd 0.250 0.750 0.500
Cd 0.500 0.500 0.000

Values from the calculation:
**Energy relative to the elements**: 0.368 eV per atom
**N(E_F)**: 5.1 states/eV per cell
**E above lowest polymorph**: 1.34 eV/f.u.
**Magnetic moment**: 0.00 μB per formula unit

***

(2)
VASP calculation (GGA-PBE) on an optimized crystal structure of Ca2BeCd.

Lattice parameters (Å, degrees): 5.035 5.035 5.035 60.00 60.00 60.00
Fractional coordinates of all 4 atoms:
Ca 0.000 0.000 0.000
Ca 0.250 0.250 0.250
Be 0.500 0.500 0.500
Cd 0.750 0.750 0.750

Values from the calculation:
**Energy relative to the elements**: 0.168 eV per atom
**N(E_F)**: 1.1 states/eV per cell
**E above lowest polymorph**: 0.54 eV/f.u.
**Magnetic moment**: 0.00 μB per formula unit